Entry from the Alexandria database: crystalline PuZrInAg at its relaxed geometry (PBE-GGA).

Values from the calculation:
The crystal system is cubic. The value obtained for the calculated volume is 23.80 Å³ per atom. Its total magnetic moment is 6.6 Bohr magnetons per cell. Its formation energy is 0.09 eV per formula unit. As for the space-group type: F-43m, No. 216.

```
PuZrInAg
1.0
-3.245 3.575 -1.719
-4.498 0.721 2.349
-0.808 4.257 2.738
Ag Pu Zr In
1 1 1 1
Direct
0.000 0.000 0.000 Ag
0.750 0.750 0.750 Pu
0.250 0.250 0.250 Zr
0.500 0.500 0.500 In
```

Entry from the Alexandria database: crystalline NaMgTlSb at its relaxed geometry (PBE-GGA).

Values from the calculation:
The crystal system is cubic. The final energy comes out at -10.189 eV/cell. The value obtained for the calculated volume is 26.45 Å³ per atom. Its total magnetic moment is 0.0 Bohr magnetons per cell. As for the space-group type: F-43m, No. 216.

```
NaMgTlSb
1.0
-3.004 4.238 -1.095
-4.231 -0.492 -3.169
-4.892 0.381 2.026
Tl Na Mg Sb
1 1 1 1
Direct
0.750 0.750 0.750 Tl
0.000 0.000 0.000 Na
0.500 0.500 0.500 Mg
0.250 0.250 0.250 Sb
```

What is the total magnetic moment in the first record?
6.6 Bohr magnetons per cell

Copy entry 1 word for word.
Entry from the Alexandria database: crystalline PuZrInAg at its relaxed geometry (PBE-GGA).

Values from the calculation:
The crystal system is cubic. The value obtained for the calculated volume is 23.80 Å³ per atom. Its total magnetic moment is 6.6 Bohr magnetons per cell. Its formation energy is 0.09 eV per formula unit. As for the space-group type: F-43m, No. 216.

```
PuZrInAg
1.0
-3.245 3.575 -1.719
-4.498 0.721 2.349
-0.808 4.257 2.738
Ag Pu Zr In
1 1 1 1
Direct
0.000 0.000 0.000 Ag
0.750 0.750 0.750 Pu
0.250 0.250 0.250 Zr
0.500 0.500 0.500 In
```

Number 2 is which compound?
NaMgTlSb

What did the first record say?
Entry from the Alexandria database: crystalline PuZrInAg at its relaxed geometry (PBE-GGA).

Values from the calculation:
The crystal system is cubic. The value obtained for the calculated volume is 23.80 Å³ per atom. Its total magnetic moment is 6.6 Bohr magnetons per cell. Its formation energy is 0.09 eV per formula unit. As for the space-group type: F-43m, No. 216.

```
PuZrInAg
1.0
-3.245 3.575 -1.719
-4.498 0.721 2.349
-0.808 4.257 2.738
Ag Pu Zr In
1 1 1 1
Direct
0.000 0.000 0.000 Ag
0.750 0.750 0.750 Pu
0.250 0.250 0.250 Zr
0.500 0.500 0.500 In
```